1.
# LiPmLu2

Crystalline LiPmLu2 at its relaxed geometry (PBE, Alexandria via LeMat-Bulk).

```
LiPmLu2
1.0
3.593 0.000 0.000
0.000 3.593 0.000
0.000 0.000 8.662
Li Pm Lu
1 1 2
Direct
0.000 0.000 0.000
0.000 0.000 0.500
0.500 0.500 0.215
0.500 0.500 0.785
```

Calculated values
**Distance to the lowest polymorph of the same formula**: 0.000 eV per atom
**Total DFT energy (no corrections)**: -15.4 eV/cell
**Formation enthalpy at 0 K**: 0.35 eV per formula unit
**Space group**: No. 123

***

2.
# ErCu2Au

Crystalline ErCu2Au at its relaxed geometry (PBE, Alexandria via LeMat-Bulk).

```
ErCu2Au
1.0
0.000 3.241 3.241
3.241 0.000 3.241
3.241 3.241 0.000
Er Cu Au
1 2 1
Direct
0.000 0.000 0.000
0.250 0.250 0.250
0.750 0.750 0.750
0.500 0.500 0.500
```

Calculated values
**Total DFT energy (no corrections)**: -17.4 eV/cell
**Formation enthalpy at 0 K**: -1.37 eV per formula unit
**Space group**: No. 225

***

3.
# LaMg2Cu

Crystalline LaMg2Cu at its relaxed geometry (PBE, Alexandria via LeMat-Bulk).

```
LaMg2Cu
1.0
1.761 1.017 9.341
-1.761 1.017 9.341
0.000 -2.034 9.341
La Mg Cu
1 2 1
Direct
0.000 0.000 0.000
0.528 0.528 0.528
0.773 0.773 0.773
0.256 0.256 0.256
```

Calculated values
**Total DFT energy (no corrections)**: -11.7 eV/cell
**Formation enthalpy at 0 K**: 0.48 eV per formula unit
**Space group**: No. 160

***

4.
# Nd2NiGe3Ir4

Crystalline Nd2NiGe3Ir4 at its relaxed geometry (PBE, Alexandria via LeMat-Bulk).

```
Nd2NiGe3Ir4
1.0
4.201 0.000 0.000
0.000 4.201 0.000
0.000 0.000 10.345
Nd Ni Ge Ir
2 1 3 4
Direct
0.000 0.500 0.246
0.500 0.000 0.754
0.500 0.500 0.000
0.000 0.000 0.000
0.000 0.500 0.631
0.500 0.000 0.369
0.000 0.000 0.500
0.000 0.500 0.869
0.500 0.000 0.131
0.500 0.500 0.500
```

Calculated values
**Total DFT energy (no corrections)**: -71.5 eV/cell
**Formation enthalpy at 0 K**: -6.85 eV per formula unit
**Space group**: No. 115

***

5.
# TaTcW2

Crystalline TaTcW2 at its relaxed geometry (PBE, Alexandria via LeMat-Bulk).

```
TaTcW2
1.0
1.596 -2.266 0.000
1.596 2.266 0.000
0.000 0.000 8.984
Ta Tc W
1 1 2
Direct
0.000 0.000 0.000
0.000 0.000 0.500
0.500 0.500 0.259
0.500 0.500 0.741
```

Calculated values
**Distance to the lowest polymorph of the same formula**: 0.156 eV per atom
**Total DFT energy (no corrections)**: -48.1 eV/cell
**Formation enthalpy at 0 K**: -0.01 eV per formula unit
**Space group**: No. 65

***

6.
# HfTe2Br

Crystalline HfTe2Br at its relaxed geometry (PBE, Alexandria via LeMat-Bulk).

```
HfTe2Br
1.0
-3.702 3.702 5.959
3.702 -3.702 5.959
3.702 3.702 -5.959
Hf Te Br
2 4 2
Direct
0.000 0.000 0.000
0.750 0.250 0.500
0.059 0.625 0.934
0.375 0.309 0.434
0.691 0.125 0.066
0.875 0.941 0.566
0.250 0.750 0.500
0.500 0.500 0.000
```

Calculated values
**Distance to the lowest polymorph of the same formula**: 0.381 eV per atom
**Total DFT energy (no corrections)**: -37.3 eV/cell
**Formation energy from raw total energies**: -182 meV per atom
**Space group**: No. 122

***

7.
# In4GaBr5

Crystalline In4GaBr5 at its relaxed geometry (PBE, Alexandria via LeMat-Bulk).

```
In4GaBr5
1.0
-5.225 5.225 3.314
5.225 -5.225 3.314
5.225 5.225 -3.314
In Ga Br
4 1 5
Direct
0.099 0.700 0.799
0.300 0.099 0.400
0.700 0.901 0.600
0.901 0.300 0.201
0.490 0.490 0.000
0.022 0.022 0.000
0.213 0.398 0.613
0.398 0.785 0.185
0.600 0.213 0.815
0.785 0.600 0.387
```

Calculated values
**Total DFT energy (no corrections)**: -28.5 eV/cell
**Formation energy from raw total energies**: -619 meV per atom
**Space group**: No. 79

***

8.
# DyPaGe2

Crystalline DyPaGe2 at its relaxed geometry (PBE, Alexandria via LeMat-Bulk).

```
DyPaGe2
1.0
2.088 1.206 6.678
-2.088 1.206 6.678
0.000 -2.411 6.678
Dy Pa Ge
1 1 2
Direct
0.000 0.000 0.000
0.500 0.500 0.500
0.247 0.247 0.247
0.753 0.753 0.753
```

Calculated values
**Distance to the lowest polymorph of the same formula**: 0.000 eV per atom
**Total DFT energy (no corrections)**: -25.8 eV/cell
**Formation enthalpy at 0 K**: -2.51 eV per formula unit
**Space group**: No. 166

***

9.
# KDyCuO3

Crystalline KDyCuO3 at its relaxed geometry (PBE, Alexandria via LeMat-Bulk).

```
KDyCuO3
1.0
7.291 0.000 0.000
0.000 3.592 0.000
-3.213 0.000 8.601
K Dy Cu O
2 2 2 6
Direct
0.194 0.250 0.171
0.806 0.750 0.829
0.327 0.750 0.860
0.673 0.250 0.140
0.030 0.250 0.623
0.970 0.750 0.377
0.115 0.250 0.850
0.120 0.750 0.600
0.464 0.750 0.119
0.536 0.250 0.881
0.880 0.250 0.400
0.885 0.750 0.150
```

Calculated values
**Total DFT energy (no corrections)**: -73.0 eV/cell
**Formation energy from raw total energies**: -1969 meV per atom
**Space group**: No. 11

***

10.
# YTi2N

Crystalline YTi2N at its relaxed geometry (PBE, Alexandria via LeMat-Bulk).

```
YTi2N
1.0
1.556 0.898 8.235
-1.556 0.898 8.235
0.000 -1.797 8.235
Y Ti N
1 2 1
Direct
0.000 0.000 0.000
0.123 0.123 0.123
0.877 0.877 0.877
0.500 0.500 0.500
```

Calculated values
**Total DFT energy (no corrections)**: -33.2 eV/cell
**Formation energy from raw total energies**: -658 meV per atom
**Space group**: No. 166

***

11.
# RbZrCoPt2

Crystalline RbZrCoPt2 at its relaxed geometry (PBE, Alexandria via LeMat-Bulk).

```
RbZrCoPt2
1.0
4.969 0.000 0.000
0.000 4.969 0.000
0.000 0.000 4.497
Rb Zr Co Pt
1 1 1 2
Direct
0.000 0.000 0.000
0.500 0.500 0.000
0.500 0.500 0.500
0.000 0.500 0.500
0.500 0.000 0.500
```

Calculated values
**Distance to the lowest polymorph of the same formula**: 0.000 eV per atom
**Total DFT energy (no corrections)**: -26.8 eV/cell
**Formation enthalpy at 0 K**: 1.88 eV per formula unit
**Space group**: No. 123

***

12.
# CaRu3

Crystalline CaRu3 at its relaxed geometry (PBE, Alexandria via LeMat-Bulk).

```
CaRu3
1.0
2.841 0.000 0.000
-1.421 2.460 0.000
0.000 0.000 9.251
Ca Ru
1 3
Direct
0.000 0.000 0.000
0.000 0.000 0.500
0.667 0.333 0.277
0.667 0.333 0.723
```

Calculated values
**Total DFT energy (no corrections)**: -28.0 eV/cell
**Formation enthalpy at 0 K**: 1.78 eV per formula unit
**Space group**: No. 187

***

13.
# PrTlCu

Crystalline PrTlCu at its relaxed geometry (PBE, Alexandria via LeMat-Bulk).

```
PrTlCu
1.0
0.000 3.385 3.385
3.385 0.000 3.385
3.385 3.385 0.000
Pr Tl Cu
1 1 1
Direct
0.000 0.000 0.000
0.500 0.500 0.500
0.750 0.750 0.750
```

Calculated values
**Total DFT energy (no corrections)**: -11.9 eV/cell
**Formation enthalpy at 0 K**: -0.61 eV per formula unit
**Space group**: No. 216